Entry 1:
# Ho3HgC

A relaxed Ho3HgC crystal (PBE-GGA, OQMD). Values from VASP.

Results
Its magnetization is 0.9 μB/f.u. The final energy is -5.0389 eV per atom. The symmetry is No. 221.

Structure (Quantum ESPRESSO input):
```
&SYSTEM
  ibrav = 0, nat = 5, ntyp = 3
/
ATOMIC_SPECIES
C 12.01 C.upf
Hg 200.59 Hg.upf
Ho 164.93 Ho.upf
ATOMIC_POSITIONS angstrom
C 0.0000 0.0000 0.0000
Hg -3.5058 1.8039 -1.4934
Ho -0.2056 2.3315 -0.6684
Ho -1.1825 -0.6821 -2.0153
Ho -2.1176 0.1545 1.1903
CELL_PARAMETERS angstrom
-0.4113 4.6630 -1.3369
-2.3651 -1.3641 -4.0306
-4.2352 0.3090 2.3806
```

=====

Entry 2:
# Tm4InHgC2

A relaxed Tm4InHgC2 crystal (PBE-GGA, OQMD). Values from VASP.

Results
Its magnetization is 0.9 μB/f.u. The final energy is -5.3542 eV per atom. The symmetry is No. 187.

Structure (Quantum ESPRESSO input):
```
&SYSTEM
  ibrav = 0, nat = 8, ntyp = 4
/
ATOMIC_SPECIES
C 12.01 C.upf
Hg 200.59 Hg.upf
In 114.82 In.upf
Tm 168.93 Tm.upf
ATOMIC_POSITIONS angstrom
C 0.0000 2.0521 3.8614
C 0.0000 2.0521 11.8981
Hg 0.0000 0.0000 0.0000
In 1.7771 1.0260 7.8797
Tm 1.7771 1.0260 2.5580
Tm 0.0000 0.0000 5.2039
Tm 0.0000 0.0000 10.5556
Tm 1.7771 1.0260 13.2015
CELL_PARAMETERS angstrom
3.5543 0.0000 0.0000
-1.7771 3.0781 0.0000
0.0000 0.0000 15.7595
```

=====

Entry 3:
# K2HgC4N4

A relaxed K2HgC4N4 crystal (PBE-GGA, OQMD). Values from VASP.

Results
The final energy is -6.5662 eV per atom. The symmetry is No. 227.

Structure (Quantum ESPRESSO input):
```
&SYSTEM
  ibrav = 0, nat = 22, ntyp = 4
/
ATOMIC_SPECIES
C 12.01 C.upf
Hg 200.59 Hg.upf
K 39.10 K.upf
N 14.01 N.upf
ATOMIC_POSITIONS angstrom
C -1.0479 0.8452 -1.7144
C -5.1507 0.6180 0.2005
C 1.2192 4.7706 -1.6455
C -3.5253 3.7376 0.7450
C -3.2383 -0.2591 -6.5387
C -0.7668 4.4841 -5.7108
C -5.5112 3.4512 -3.3202
C -7.3411 -0.4863 -4.6238
Hg 0.0000 0.0000 0.0000
Hg -4.7580 2.1895 1.6591
K -0.3305 5.0262 1.5158
K -2.1460 4.1109 -2.4829
K -4.1945 0.1794 -3.1691
K -8.1269 -0.6767 -1.1877
N -5.3621 -0.2278 -0.5845
N 0.2033 5.2381 -1.2913
N -2.8619 4.5707 0.2531
N -1.6118 1.3001 -2.6370
N -6.7773 -0.9412 -3.7013
N -3.0269 0.5867 -5.7538
N -1.4302 3.6510 -5.2189
N -4.4953 2.9837 -3.6744
CELL_PARAMETERS angstrom
-7.8649 -1.7123 3.9629
4.0969 7.8628 1.3725
-3.6310 -1.8306 -7.9973
```

=====

Entry 4:
# KHgC3S3N3

A relaxed KHgC3S3N3 crystal (PBE-GGA, OQMD). Values from VASP.

Results
The final energy is -6.0176 eV per atom. The symmetry is No. 14.

Structure (Quantum ESPRESSO input):
```
&SYSTEM
  ibrav = 0, nat = 44, ntyp = 5
/
ATOMIC_SPECIES
C 12.01 C.upf
Hg 200.59 Hg.upf
K 39.10 K.upf
N 14.01 N.upf
S 32.06 S.upf
ATOMIC_POSITIONS angstrom
C 7.0183 1.0331 1.0519
C 1.9420 1.0795 2.3934
C -1.0986 3.0094 3.7324
C 7.3328 0.9940 5.6887
C 4.2922 3.0949 7.0277
C -0.7841 3.0485 8.3692
C 1.3135 0.9823 10.4730
C -3.7628 0.9359 11.8145
C -6.8034 3.0368 13.1535
C 1.6280 1.0214 15.1098
C -1.4126 2.9513 16.4488
C -6.4889 2.9977 17.7904
Hg 9.7588 2.8640 0.7477
Hg -3.5247 0.8486 8.6734
Hg 4.0541 3.1822 10.1688
Hg -9.2294 1.1668 18.0945
K 4.9296 3.1815 3.5826
K 1.3046 1.1661 5.8385
K -0.7752 2.8647 13.0037
K -4.4002 0.8493 15.2596
N 6.2391 1.1575 1.9297
N 2.7976 1.1767 3.1998
N -0.0486 3.2425 4.2166
N 6.2828 1.2271 5.2045
N 3.4366 3.1921 6.2213
N -0.0049 3.1729 7.4914
N 0.5344 0.8579 11.3508
N -2.9072 0.8388 12.6209
N -5.7534 2.8037 13.6377
N 0.5781 0.7883 14.6256
N -2.2682 2.8542 15.6424
N -5.7097 2.8733 16.9126
S 3.8385 3.1560 0.1859
S 0.7266 0.9435 1.2766
S 9.3272 2.6497 3.1635
S -3.0930 0.6343 6.2576
S 5.5076 2.9589 8.1445
S 2.3957 1.1406 9.2352
S -1.8663 2.8902 9.6070
S -4.9782 1.0720 10.6977
S 3.6224 3.3965 12.5846
S -8.7977 1.3811 15.6787
S -0.1971 3.0874 17.5656
S -3.3090 0.8748 18.6563
CELL_PARAMETERS angstrom
11.9389 0.0000 0.0000
0.0000 4.0308 0.0000
-11.4095 0.0000 18.8422
```

=====

Entry 5:
# KHgC3S3N3

A relaxed KHgC3S3N3 crystal (PBE-GGA, OQMD). Values from VASP.

Results
The final energy is -6.0172 eV per atom. The symmetry is No. 11.

Structure (Quantum ESPRESSO input):
```
&SYSTEM
  ibrav = 0, nat = 22, ntyp = 5
/
ATOMIC_SPECIES
C 12.01 C.upf
Hg 200.59 Hg.upf
K 39.10 K.upf
N 14.01 N.upf
S 32.06 S.upf
ATOMIC_POSITIONS angstrom
C -3.3502 -2.2878 -5.9173
C -3.0122 -1.4263 1.4425
C -7.3485 -1.2787 -3.1097
C -5.0480 1.8831 0.8541
C -9.3842 2.0307 -3.6981
C -9.0463 2.8922 3.6617
Hg -6.6979 -2.8864 -5.7242
Hg -5.6986 3.4909 3.4687
K -4.0330 0.0330 -1.8559
K -8.3635 0.5714 -0.3996
N -3.5358 -2.8369 -2.0778
N -3.9218 -1.2911 0.7044
N -6.6796 -1.1737 -2.1419
N -5.7168 1.7781 -0.1137
N -8.4746 1.8955 -2.9600
N -8.8607 3.4414 -0.1777
S -6.0080 -4.2003 -7.6836
S -4.4724 -1.3263 -5.1754
S -4.1041 2.0237 2.2042
S -8.2923 -1.4193 -4.4598
S -7.9240 1.9307 2.9198
S -6.3884 4.8047 5.4280
CELL_PARAMETERS angstrom
-4.3140 -2.5296 -10.0951
-1.7674 -3.2800 1.5772
-6.3150 6.4140 6.2624
```

=====

Entry 6:
# KZr4HgC2

A relaxed KZr4HgC2 crystal (PBE-GGA, OQMD). Values from VASP.

Results
Its magnetization is 0.8 μB/f.u. The final energy is -7.0979 eV per atom. The symmetry is No. 187.

Structure (Quantum ESPRESSO input):
```
&SYSTEM
  ibrav = 0, nat = 8, ntyp = 4
/
ATOMIC_SPECIES
C 12.01 C.upf
Hg 200.59 Hg.upf
K 39.10 K.upf
Zr 91.22 Zr.upf
ATOMIC_POSITIONS angstrom
C 0.0000 1.9475 3.7566
C 0.0000 1.9475 13.2285
Hg 0.0000 0.0000 0.0000
K 1.6866 0.9738 8.4926
Zr 1.6866 0.9738 2.5095
Zr 0.0000 0.0000 4.9956
Zr 0.0000 0.0000 11.9895
Zr 1.6866 0.9738 14.4756
CELL_PARAMETERS angstrom
3.3732 0.0000 0.0000
-1.6866 2.9213 0.0000
0.0000 0.0000 16.9851
```

=====

Entry 7:
# LuScHgC

A relaxed LuScHgC crystal (PBE-GGA, OQMD). Values from VASP.

Results
Its magnetization is 0.6 μB/f.u. The final energy is -5.5466 eV per atom. The symmetry is No. 164.

Structure (Quantum ESPRESSO input):
```
&SYSTEM
  ibrav = 0, nat = 8, ntyp = 4
/
ATOMIC_SPECIES
C 12.01 C.upf
Hg 200.59 Hg.upf
Lu 174.97 Lu.upf
Sc 44.96 Sc.upf
ATOMIC_POSITIONS angstrom
C 0.0000 0.0000 0.0000
C 0.0000 0.0000 7.6304
Hg 1.7168 0.9912 3.9391
Hg 0.0000 1.9824 11.3218
Lu 0.0000 1.9824 1.3263
Lu 1.7168 0.9912 13.9345
Sc 0.0000 1.9824 6.4256
Sc 1.7168 0.9912 8.8353
CELL_PARAMETERS angstrom
3.4337 0.0000 0.0000
-1.7168 2.9737 0.0000
0.0000 0.0000 15.2609
```

=====

Entry 8:
# LuScHgC

A relaxed LuScHgC crystal (PBE-GGA, OQMD). Values from VASP.

Results
Its magnetization is 0.6 μB/f.u. The final energy is -5.5498 eV per atom. The symmetry is No. 187.

Structure (Quantum ESPRESSO input):
```
&SYSTEM
  ibrav = 0, nat = 8, ntyp = 4
/
ATOMIC_SPECIES
C 12.01 C.upf
Hg 200.59 Hg.upf
Lu 174.97 Lu.upf
Sc 44.96 Sc.upf
ATOMIC_POSITIONS angstrom
C 3.4864 -0.1983 1.2742
C 10.8154 -0.6151 3.9528
Hg 0.1947 -1.7993 -0.8127
Hg 6.6766 -2.0242 3.6597
Lu 4.9617 -2.0704 0.9296
Lu 9.7295 -2.3416 2.6721
Sc 1.9152 -1.7534 1.9195
Sc 11.4379 -2.2950 5.3999
CELL_PARAMETERS angstrom
-1.1434 -1.4358 2.9050
0.8637 -1.9811 -2.6715
14.3018 -0.8134 5.2271
```

=====

Entry 9:
# Lu3ScHg2C2

A relaxed Lu3ScHg2C2 crystal (PBE-GGA, OQMD). Values from VASP.

Results
Its magnetization is 1.2 μB/f.u. The final energy is -5.3114 eV per atom. The symmetry is No. 156.

Structure (Quantum ESPRESSO input):
```
&SYSTEM
  ibrav = 0, nat = 8, ntyp = 4
/
ATOMIC_SPECIES
C 12.01 C.upf
Hg 200.59 Hg.upf
Lu 174.97 Lu.upf
Sc 44.96 Sc.upf
ATOMIC_POSITIONS angstrom
C 6.4384 -3.9859 2.4115
C 13.3323 -6.0152 4.7404
Hg 3.4745 -1.0227 1.1738
Hg 9.7613 -3.8801 5.2382
Lu 0.3623 -1.1134 2.0629
Lu 4.9987 -2.4781 3.6292
Lu 8.1964 -2.4127 2.7690
Sc 12.8444 -3.7809 4.3393
CELL_PARAMETERS angstrom
-1.0065 0.3736 3.3046
-0.3653 -3.0672 -1.5912
13.9877 -4.1174 4.7255
```

=====

Entry 10:
# LuScHgC

A relaxed LuScHgC crystal (PBE-GGA, OQMD). Values from VASP.

Results
Its magnetization is 0.6 μB/f.u. The final energy is -5.5482 eV per atom. The symmetry is No. 186.

Structure (Quantum ESPRESSO input):
```
&SYSTEM
  ibrav = 0, nat = 8, ntyp = 4
/
ATOMIC_SPECIES
C 12.01 C.upf
Hg 200.59 Hg.upf
Lu 174.97 Lu.upf
Sc 44.96 Sc.upf
ATOMIC_POSITIONS angstrom
C 0.0000 0.0000 7.5737
C 0.0000 0.0000 15.2063
Hg 1.7164 0.9910 3.8604
Hg 0.0000 1.9820 11.4930
Lu 0.0000 1.9820 1.2755
Lu 1.7164 0.9910 8.9081
Sc 0.0000 1.9820 6.3718
Sc 1.7164 0.9910 14.0044
CELL_PARAMETERS angstrom
3.4329 0.0000 0.0000
-1.7164 2.9730 0.0000
0.0000 0.0000 15.2652
```

=====

Entry 11:
# Lu4HgC2Se

A relaxed Lu4HgC2Se crystal (PBE-GGA, OQMD). Values from VASP.

Results
Its magnetization is 1.0 μB/f.u. The final energy is -5.8490 eV per atom. The symmetry is No. 187.

Structure (Quantum ESPRESSO input):
```
&SYSTEM
  ibrav = 0, nat = 8, ntyp = 4
/
ATOMIC_SPECIES
C 12.01 C.upf
Hg 200.59 Hg.upf
Lu 174.97 Lu.upf
Se 78.96 Se.upf
ATOMIC_POSITIONS angstrom
C 0.0000 2.0838 3.2656
C 0.0000 2.0838 10.7447
Hg 0.0000 0.0000 7.0052
Lu 0.0000 0.0000 1.9617
Lu 1.8047 1.0419 4.5319
Lu 1.8047 1.0419 9.4784
Lu 0.0000 0.0000 12.0486
Se 1.8047 1.0419 0.0000
CELL_PARAMETERS angstrom
3.6093 0.0000 0.0000
-1.8047 3.1258 0.0000
0.0000 0.0000 14.0103
```

=====

Entry 12:
# Lu4HgC2Se

A relaxed Lu4HgC2Se crystal (PBE-GGA, OQMD). Values from VASP.

Results
Its magnetization is 1.0 μB/f.u. The final energy is -5.8484 eV per atom. The symmetry is No. 187.

Structure (Quantum ESPRESSO input):
```
&SYSTEM
  ibrav = 0, nat = 8, ntyp = 4
/
ATOMIC_SPECIES
C 12.01 C.upf
Hg 200.59 Hg.upf
Lu 174.97 Lu.upf
Se 78.96 Se.upf
ATOMIC_POSITIONS angstrom
C 0.0000 0.0000 3.6900
C 0.0000 0.0000 10.2122
Hg 1.8072 1.0434 0.0000
Lu 0.0000 2.0868 2.4283
Lu 1.8072 1.0434 4.9897
Lu 1.8072 1.0434 8.9125
Lu 0.0000 2.0868 11.4740
Se 0.0000 2.0868 6.9511
CELL_PARAMETERS angstrom
3.6145 0.0000 0.0000
-1.8072 3.1302 0.0000
0.0000 0.0000 13.9022
```

=====

Entry 13:
# Lu4TlHgC2

A relaxed Lu4TlHgC2 crystal (PBE-GGA, OQMD). Values from VASP.

Results
Its magnetization is 0.9 μB/f.u. The final energy is -5.3426 eV per atom. The symmetry is No. 187.

Structure (Quantum ESPRESSO input):
```
&SYSTEM
  ibrav = 0, nat = 8, ntyp = 4
/
ATOMIC_SPECIES
C 12.01 C.upf
Hg 200.59 Hg.upf
Lu 174.97 Lu.upf
Tl 204.38 Tl.upf
ATOMIC_POSITIONS angstrom
C 1.7637 1.0183 3.8291
C 1.7637 1.0183 11.7462
Hg 0.0000 2.0365 0.0000
Lu 0.0000 0.0000 2.5466
Lu 0.0000 2.0365 5.1557
Lu 0.0000 2.0365 10.4197
Lu 0.0000 0.0000 13.0288
Tl 0.0000 0.0000 7.7877
CELL_PARAMETERS angstrom
3.5274 0.0000 0.0000
-1.7637 3.0548 0.0000
0.0000 0.0000 15.5754
```

=====

Entry 14:
# TmLu3Hg2C2

A relaxed TmLu3Hg2C2 crystal (PBE-GGA, OQMD). Values from VASP.

Results
Its magnetization is 1.4 μB/f.u. The final energy is -5.0677 eV per atom. The symmetry is No. 156.

Structure (Quantum ESPRESSO input):
```
&SYSTEM
  ibrav = 0, nat = 8, ntyp = 4
/
ATOMIC_SPECIES
C 12.01 C.upf
Hg 200.59 Hg.upf
Lu 174.97 Lu.upf
Tm 168.93 Tm.upf
ATOMIC_POSITIONS angstrom
C 3.8147 -4.4922 4.9986
C 7.6262 -8.9807 9.9930
Hg 0.6465 -1.6751 3.9897
Hg 4.0198 -7.7943 7.8504
Lu 1.4664 -4.7874 4.5045
Lu 3.1973 -4.6788 7.3321
Lu 5.7128 -7.6412 10.6284
Tm -1.0510 -1.8229 1.2058
CELL_PARAMETERS angstrom
-0.8282 2.2085 2.6168
-2.1405 -2.6869 -0.7812
7.6308 -8.9861 9.9990
```

=====

Entry 15:
# Mg3HgC

A relaxed Mg3HgC crystal (PBE-GGA, OQMD). Values from VASP.

Results
The final energy is -2.7808 eV per atom. The symmetry is No. 221.

Structure (Quantum ESPRESSO input):
```
&SYSTEM
  ibrav = 0, nat = 5, ntyp = 3
/
ATOMIC_SPECIES
C 12.01 C.upf
Hg 200.59 Hg.upf
Mg 24.30 Mg.upf
ATOMIC_POSITIONS angstrom
C 2.2195 2.2195 2.2195
Hg 0.0000 0.0000 0.0000
Mg 2.2195 2.2195 0.0000
Mg 2.2195 0.0000 2.2195
Mg 0.0000 2.2195 2.2195
CELL_PARAMETERS angstrom
4.4391 0.0000 0.0000
0.0000 4.4391 0.0000
0.0000 0.0000 4.4391
```

=====

Entry 16:
# Tm4MgHgC2

A relaxed Tm4MgHgC2 crystal (PBE-GGA, OQMD). Values from VASP.

Results
Its magnetization is 0.0 μB/f.u. The final energy is -5.1078 eV per atom. The symmetry is No. 187.

Structure (Quantum ESPRESSO input):
```
&SYSTEM
  ibrav = 0, nat = 8, ntyp = 4
/
ATOMIC_SPECIES
C 12.01 C.upf
Hg 200.59 Hg.upf
Mg 24.30 Mg.upf
Tm 168.93 Tm.upf
ATOMIC_POSITIONS angstrom
C 1.7604 1.0163 3.9321
C 1.7604 1.0163 12.3682
Hg 0.0000 2.0327 0.0000
Mg 0.0000 0.0000 8.1502
Tm 0.0000 0.0000 2.5427
Tm 0.0000 2.0327 5.2038
Tm 0.0000 2.0327 11.0965
Tm 0.0000 0.0000 13.7577
CELL_PARAMETERS angstrom
3.5207 0.0000 0.0000
-1.7604 3.0490 0.0000
0.0000 0.0000 16.3003
```

=====

Entry 17:
# HgC2N2

A relaxed HgC2N2 crystal (PBE-GGA, OQMD). Values from VASP.

Results
The final energy is -6.4977 eV per atom. The symmetry is No. 122.

Structure (Quantum ESPRESSO input):
```
&SYSTEM
  ibrav = 0, nat = 20, ntyp = 3
/
ATOMIC_SPECIES
C 12.01 C.upf
Hg 200.59 Hg.upf
N 14.01 N.upf
ATOMIC_POSITIONS angstrom
C 3.0384 -3.3955 3.9783
C 5.5694 -0.4055 -0.7549
C 6.9866 -2.8230 2.1760
C 1.9792 0.0139 1.4448
C 3.5091 3.4194 -0.2160
C 2.8743 0.6804 5.1024
C 5.9671 1.4146 2.5846
C 0.7744 3.6770 2.6992
Hg 7.4491 -1.1946 -0.8988
Hg 2.7928 1.6971 0.6193
Hg -1.1138 4.2884 2.2118
Hg 3.5991 2.5804 4.8985
N 4.1237 -3.8193 3.9061
N 1.5931 -0.9855 1.9083
N 4.5267 0.1177 -0.7112
N 7.3771 -1.7314 2.0403
N 2.3804 -0.3698 5.2279
N 4.8774 1.7461 2.3291
N 3.9986 4.3773 -0.6692
N 1.8215 3.2461 2.9833
CELL_PARAMETERS angstrom
2.6787 -4.8970 5.8812
6.2502 1.3182 -4.9942
-2.5653 7.2644 2.5283
```

=====

Entry 18:
# Hg2C2N2O

A relaxed Hg2C2N2O crystal (PBE-GGA, OQMD). Values from VASP.

Results
The final energy is -5.4828 eV per atom. The symmetry is No. 62.

Structure (Quantum ESPRESSO input):
```
&SYSTEM
  ibrav = 0, nat = 28, ntyp = 4
/
ATOMIC_SPECIES
C 12.01 C.upf
Hg 200.59 Hg.upf
N 14.01 N.upf
O 16.00 O.upf
ATOMIC_POSITIONS angstrom
C -2.4017 6.0041 4.9618
C -3.1808 11.3351 8.2767
C 0.1515 3.8120 3.4628
C -2.9091 14.4747 10.1845
C 3.2606 0.8392 3.7226
C 0.2000 11.5019 10.4442
C 3.5323 3.9789 5.6304
C 2.7532 9.3099 8.9452
Hg -0.1493 2.0958 2.4292
Hg -4.9113 14.7098 10.4505
Hg -1.0781 7.3548 5.7091
Hg -1.6711 10.2261 7.5051
Hg 2.0226 5.0878 6.4020
Hg 1.4296 7.9592 8.1980
Hg 5.2628 0.6042 3.4566
Hg 0.5008 13.2181 11.4778
N -3.0224 7.8044 8.3742
N -4.1083 11.9149 8.6886
N 0.4122 4.7904 4.0466
N 2.0953 0.8802 3.8187
N -1.7438 14.4337 10.0884
N -0.0607 10.5235 9.8604
N 4.4598 3.3990 5.2185
N 3.3739 7.5096 5.5329
O -5.9418 12.7334 11.5730
O 0.5929 6.2846 7.2226
O -0.2414 9.0293 6.6845
O 6.2932 2.5805 2.3340
CELL_PARAMETERS angstrom
-6.4667 15.1124 9.6564
0.2005 -2.0184 3.2930
6.6177 2.2199 0.9576
```

=====

For the records above, the corresponding theoretical density values read 10181; 9777; 2490; 3032; 3035; 6237; 9218; 9212; 10310; 9220; 10542; 10593; 11169; 11184; 5420; 8775; 4116; 5999 kg/m³.